Computed, not measured: an optimized crystal structure of RbLaGe2I8 at the GGA-PBE level of DFT.

a = 7.863 Å, b = 7.465 Å, c = 10.038 Å
α = 83.55°, β = 83.26°, γ = 84.56°
Fractional coordinates of all 12 atoms:
I (0.624, 0.727, 0.462)
I (0.831, 0.267, 0.772)
I (0.329, 0.234, 0.967)
I (0.169, 0.733, 0.228)
I (0.671, 0.766, 0.033)
I (0.376, 0.273, 0.538)
I (0.832, 0.258, 0.218)
I (0.168, 0.742, 0.782)
Rb (0.000, 0.000, 0.500)
La (0.000, 0.000, 0.000)
Ge (0.531, 0.547, 0.264)
Ge (0.469, 0.453, 0.736)

Calculated values
N(E_F)	0.00	states/eV/atom
uncorrected formation energy	-853	meV/atom



Computed, not measured: an optimized crystal structure of ZrIn2Hg at the GGA-PBE level of DFT.

a = 10.281 Å, b = 10.281 Å, c = 10.281 Å
α = 18.49°, β = 18.49°, γ = 18.49°
Fractional coordinates of all 4 atoms:
In (0.501, 0.501, 0.501)
In (0.999, 0.999, 0.999)
Hg (0.750, 0.750, 0.750)
Zr (0.250, 0.250, 0.250)

Calculated values
N(E_F)	0.86	states/eV/atom
E_form	-0.04	eV per atom



Computed, not measured: an optimized crystal structure of LiYAu2 at the GGA-PBE level of DFT.

a = 3.516 Å, b = 3.503 Å, c = 7.363 Å
α = 61.60°, β = 90.00°, γ = 90.00°
Fractional coordinates of all 4 atoms:
Y (0.500, 0.750, 0.750)
Au (0.000, 0.973, 0.027)
Au (0.000, 0.527, 0.473)
Li (0.500, 0.250, 0.250)

Calculated values
N(E_F)	0.50	states/eV/atom
E_form	-0.69	eV per atom



Computed, not measured: an optimized crystal structure of Mn2CoOs at the GGA-PBE level of DFT.

a = 8.336 Å, b = 8.336 Å, c = 8.336 Å
α = 17.92°, β = 17.92°, γ = 17.92°
Each line ends with the local moment (μB).
Fractional coordinates of all 4 atoms:
Os (0.250, 0.250, 0.250)  -0.09
Co (0.750, 0.750, 0.750)  0.67
Mn (0.003, 0.003, 0.003)  0.72
Mn (0.497, 0.497, 0.497)  0.72

Calculated values
N(E_F)	1.39	states/eV/atom
E_form	0.19	eV per atom



Computed, not measured: an optimized crystal structure of Y2ScPt at the GGA-PBE level of DFT.

a = 3.598 Å, b = 3.613 Å, c = 8.444 Å
α = 64.69°, β = 90.00°, γ = 90.00°
Fractional coordinates of all 4 atoms:
Y (0.000, 0.965, 0.035)
Y (0.000, 0.535, 0.465)
Sc (0.500, 0.750, 0.750)
Pt (0.500, 0.250, 0.250)

Calculated values
N(E_F)	1.33	states/eV/atom
E_form	-0.56	eV per atom



Computed, not measured: an optimized crystal structure of LiLa5Te6 at the GGA-PBE level of DFT.

a = 7.882 Å, b = 7.875 Å, c = 7.882 Å
α = 60.03°, β = 80.34°, γ = 70.38°
Fractional coordinates of all 12 atoms:
Te (0.244, 0.238, 0.000)
Te (0.756, 0.762, 0.000)
Te (0.759, 0.079, 0.321)
Te (0.241, 0.921, 0.679)
Te (0.241, 0.600, 0.321)
Te (0.759, 0.400, 0.679)
La (0.000, 0.665, 0.670)
La (0.500, 0.500, 0.000)
La (0.000, 0.335, 0.330)
La (0.500, 0.830, 0.340)
La (0.500, 0.170, 0.660)
Li (0.000, 0.000, 0.000)

Calculated values
N(E_F)	0.57	states/eV/atom
uncorrected formation energy	-1525	meV/atom



Computed, not measured: an optimized crystal structure of TcPBr2 at the GGA-PBE level of DFT.

a = 3.304 Å, b = 7.851 Å, c = 7.883 Å
α = 33.51°, β = 90.00°, γ = 90.00°
Fractional coordinates of all 4 atoms:
Br (0.000, 0.612, 0.620)
Br (0.000, 0.888, 0.880)
P (0.500, 0.250, 0.250)
Tc (0.500, 0.750, 0.750)

Calculated values
N(E_F)	0.26	states/eV/atom
uncorrected formation energy	7	meV/atom



Computed, not measured: an optimized crystal structure of LaMg2Cu at the GGA-PBE level of DFT.

a = 5.175 Å, b = 6.588 Å, c = 3.220 Å
α = 77.10°, β = 86.90°, γ = 112.31°
Fractional coordinates of all 4 atoms:
Cu (0.000, 0.500, 0.500)
Mg (0.000, 0.000, 0.000)
Mg (0.500, 0.000, 0.500)
La (0.500, 0.500, 0.000)

Calculated values
N(E_F)	0.82	states/eV/atom
E_form	0.14	eV per atom



Computed, not measured: an optimized crystal structure of NdGe2Pd3 at the GGA-PBE level of DFT.

a = 4.111 Å, b = 8.662 Å, c = 10.120 Å
α = 107.96°, β = 90.00°, γ = 103.73°
Fractional coordinates of all 18 atoms:
Pd (0.782, 0.564, 0.608)
Pd (0.042, 0.084, 0.334)
Pd (0.218, 0.436, 0.392)
Pd (0.958, 0.916, 0.666)
Pd (0.320, 0.641, 0.036)
Pd (0.624, 0.248, 0.200)
Pd (0.500, 0.000, 0.500)
Pd (0.680, 0.359, 0.964)
Pd (0.376, 0.752, 0.800)
Nd (0.846, 0.691, 0.304)
Nd (0.000, 0.000, 0.000)
Nd (0.154, 0.309, 0.696)
Ge (0.363, 0.726, 0.547)
Ge (0.637, 0.274, 0.453)
Ge (0.537, 0.073, 0.780)
Ge (0.463, 0.927, 0.220)
Ge (0.801, 0.602, 0.869)
Ge (0.199, 0.398, 0.131)

Calculated values
N(E_F)	0.51	states/eV/atom
E_form	-0.80	eV per atom



Computed, not measured: an optimized crystal structure of Y2ZrPdN at the GGA-PBE level of DFT.

a = 4.807 Å, b = 4.807 Å, c = 4.374 Å
α = 90.00°, β = 90.00°, γ = 90.00°
Fractional coordinates of all 5 atoms:
Pd (0.500, 0.500, 0.500)
N (0.000, 0.000, 0.000)
Y (0.500, 0.000, 0.000)
Y (0.000, 0.500, 0.000)
Zr (0.000, 0.000, 0.500)

Calculated values
N(E_F)	1.05	states/eV/atom
uncorrected formation energy	-867	meV/atom



Computed, not measured: an optimized crystal structure of La2YZn at the GGA-PBE level of DFT.

a = 6.889 Å, b = 6.889 Å, c = 6.889 Å
α = 148.12°, β = 135.06°, γ = 56.15°
Fractional coordinates of all 4 atoms:
Y (0.750, 0.250, 0.500)
La (0.041, 0.041, 0.000)
La (0.459, 0.459, 0.000)
Zn (0.250, 0.750, 0.500)

Calculated values
N(E_F)	1.13	states/eV/atom
E_form	-0.11	eV per atom



Computed, not measured: an optimized crystal structure of TaPb5 at the GGA-PBE level of DFT.

a = 5.882 Å, b = 5.882 Å, c = 5.446 Å
α = 90.00°, β = 90.00°, γ = 120.00°
Fractional coordinates of all 6 atoms:
Pb (0.690, 0.000, 0.000)
Pb (0.667, 0.333, 0.500)
Pb (0.000, 0.690, 0.000)
Pb (0.333, 0.667, 0.500)
Pb (0.310, 0.310, 0.000)
Ta (0.000, 0.000, 0.500)

Calculated values
N(E_F)	0.79	states/eV/atom
E_form	0.44	eV per atom